[1]
BAs2O2: optimized geometry, PBE.

POSCAR file:
```
BAs2O2
1.0
5.8625 0.0000 0.0000
0.0000 5.8625 0.0000
2.9312 2.9312 2.5376
As B O
2 1 2
Cartesian
5.8625 2.9312 1.2688
2.9312 5.8625 1.2688
0.0000 0.0000 0.0000
2.9312 2.9312 1.2709
5.8625 5.8625 1.2667
```

Calculated values
SG	I4/mmm, No. 139
DOS(E_F)	0.521	states/eV per atom
M_tot	0.00	μB per cell
distance to the lowest polymorph of the same formula	0	meV/atom
raw formation energy	-9.45	kcal/mol of atoms

=====

[2]
BAs2O2: optimized geometry, PBE.

POSCAR file:
```
BAs2O2
1.0
-3.8865 -3.1340 -5.3104
-3.7552 -3.7759 4.9767
-1.8444 2.0324 0.1504
O B As
4 2 4
Cartesian
-2.9166 -2.4472 -2.6977
-1.8943 -1.8062 1.1780
-5.7473 -5.1038 -1.5116
-4.7250 -4.4627 2.3641
0.0000 0.0000 0.0000
-3.8208 -3.4550 -0.1668
-6.6536 -4.1655 -0.1878
-2.8324 -0.7121 0.0045
-4.7197 -2.6078 2.4797
-4.7663 -2.2697 -2.6630
```

Calculated values
SG	P4/mbm, No. 127
DOS(E_F)	0.330	states/eV per atom
M_tot	0.00	μB per cell
distance to the lowest polymorph of the same formula	782	meV/atom
raw formation energy	8.58	kcal/mol of atoms

=====

[3]
BAsO2: optimized geometry, PBE.

POSCAR file:
```
BAsO2
1.0
3.0452 -2.2835 -0.5814
0.7983 -2.8179 2.4994
-0.5175 -3.6778 -1.0155
O As B
2 1 1
Cartesian
0.8315 -2.1948 0.2257
2.4945 -6.5844 0.6770
1.6630 -4.3896 0.4513
0.0000 0.0000 0.0000
```

Calculated values
SG	Fm-3m, No. 225
DOS(E_F)	0.420	states/eV per atom
M_tot	0.00	μB per cell
distance to the lowest polymorph of the same formula	1831	meV/atom
raw formation energy	18.39	kcal/mol of atoms

=====

[4]
BAsO2: optimized geometry, PBE.

POSCAR file:
```
BAsO2
1.0
1.6993 0.0000 6.4482
-0.8497 1.4716 6.4482
-0.8497 -1.4716 6.4482
O As B
2 1 1
Cartesian
0.0000 0.0000 18.0787
0.0000 0.0000 1.2659
0.0000 0.0000 9.6723
0.0000 0.0000 0.0000
```

Calculated values
SG	R-3m, No. 166
DOS(E_F)	0.192	states/eV per atom
M_tot	0.00	μB per cell
distance to the lowest polymorph of the same formula	115	meV/atom
raw formation energy	-21.19	kcal/mol of atoms

=====

[5]
BAsPbO5: optimized geometry, PBE.

POSCAR file:
```
BAsPbO5
1.0
-0.2099 5.6233 4.6119
-6.0002 -3.9298 -1.2204
1.7190 -4.2632 5.2763
O As Pb B
15 3 3 3
Cartesian
-4.2058 -2.6974 7.2867
-0.9104 -0.5480 6.9273
0.5569 -2.3802 6.1183
-1.0235 3.0518 4.8350
-0.1380 -2.4419 3.0743
-2.0259 -4.1371 2.1804
-1.7219 -2.7965 6.2582
-2.5206 -1.3039 1.8439
-5.7602 -2.0042 2.0267
-2.2325 1.7975 3.0658
-3.1033 -0.4232 5.7984
-2.8957 -5.5124 4.7529
-1.0657 0.5829 4.7980
-5.0870 -3.9905 0.3418
-3.9214 -2.5443 4.3916
-1.3586 -2.5231 1.9047
-5.5639 -2.3670 0.3074
-3.3426 -2.1704 5.9297
-0.4954 -4.6960 4.5089
-4.1589 -0.0090 3.3022
-4.7510 -4.4880 2.9698
-1.7454 0.2501 6.0395
-0.6501 -1.9776 6.9763
-1.0968 1.7837 3.9737
```

Calculated values
SG	P3_1, No. 144
DOS(E_F)	0.000	states/eV per atom
M_tot	0.00	μB per cell
raw formation energy	-37.74	kcal/mol of atoms

=====

[6]
B2AsPbO8: optimized geometry, PBE.

POSCAR file:
```
B2AsPbO8
1.0
-3.8845 1.0042 -2.0520
-1.4771 -3.3508 -2.6266
-3.1921 -2.4413 5.1296
O As B Pb
8 1 2 1
Cartesian
-4.2147 -1.8879 -3.3496
-3.3099 -2.0450 1.6319
-2.9285 -2.8261 -1.5454
-4.4459 -4.0951 1.7150
-4.3390 -2.9000 3.8006
-5.6252 -1.9618 1.9964
-5.2437 -2.7429 -1.1808
-4.1078 -0.6928 -1.2639
0.0000 0.0000 0.0000
-4.3654 -2.7259 2.3702
-4.1883 -2.0621 -1.9192
-1.5960 -1.2207 2.5648
```

Calculated values
SG	C2/m, No. 12
DOS(E_F)	0.302	states/eV per atom
M_tot	0.93	μB per cell
raw formation energy	-31.23	kcal/mol of atoms

=====

[7]
PrBAs2O8: optimized geometry, PBE.

POSCAR file:
```
PrBAs2O8
1.0
-1.0307 -0.5124 5.0445
4.7631 -0.9608 -1.7779
1.6053 6.1881 0.9566
O As B Pr
8 2 1 1
Cartesian
0.0920 0.4506 4.1960
2.7447 -0.0845 3.2058
3.6455 2.3250 0.9810
0.6660 0.7359 1.3865
2.5930 4.7994 1.0173
1.6922 2.3899 3.2421
4.6717 3.9790 2.8366
5.2457 4.2643 0.0271
4.0694 3.9591 1.2336
1.2683 0.7557 2.9895
0.0000 0.0000 0.0000
0.8026 3.0940 0.4783
```

Calculated values
SG	P-3m1, No. 164
DOS(E_F)	0.000	states/eV per atom
M_tot	0.00	μB per cell
raw formation energy	-35.76	kcal/mol of atoms

=====

[8]
PrB2AsO8: optimized geometry, PBE.

POSCAR file:
```
PrB2AsO8
1.0
4.4869 -0.1265 -0.0119
1.9576 4.0393 -0.0119
0.2857 0.1735 7.0680
O As Pr B
8 1 1 2
Cartesian
2.7613 3.0943 1.3559
3.9689 0.9920 5.6883
1.8509 1.1238 6.7934
4.5831 2.7827 2.7805
4.8793 2.9626 0.2509
2.7110 3.0638 5.6883
4.0192 1.0226 1.3559
2.1471 1.3036 4.2637
0.0000 0.0000 0.0000
0.1429 0.0867 3.5340
2.6093 1.5843 5.6003
4.1209 2.5021 1.4439
```

Calculated values
SG	C2/m, No. 12
DOS(E_F)	0.445	states/eV per atom
M_tot	1.96	μB per cell
raw formation energy	-43.45	kcal/mol of atoms

=====

[9]
Rb2B2AsO6: optimized geometry, PBE.

POSCAR file:
```
Rb2B2AsO6
1.0
-4.0767 -2.2963 -2.2578
4.7785 -0.7358 -1.9027
-1.0763 -3.8660 5.8752
O Rb B As
6 2 2 1
Cartesian
0.7650 -5.0681 0.5709
1.0802 -2.1764 0.2631
2.9492 -3.8378 1.7806
-3.3236 -3.0603 -0.0659
-1.4546 -4.7217 1.4516
-1.1394 -1.8300 1.1438
0.6581 -4.4847 3.3730
-1.0325 -2.4133 -1.6583
-0.6189 -5.2204 0.4498
0.2444 -1.6776 1.2649
-2.5765 -3.0811 1.8087
```

Calculated values
SG	R-3m, No. 166
DOS(E_F)	0.205	states/eV per atom
M_tot	0.00	μB per cell
raw formation energy	-41.44	kcal/mol of atoms

=====

[10]
Rb2BAsO: optimized geometry, PBE.

POSCAR file:
```
Rb2BAsO
1.0
-3.6215 0.4450 5.5721
-3.2704 0.0408 -2.1288
-0.3011 -6.6452 0.3351
Rb O B As
2 1 1 1
Cartesian
-0.1505 -3.3226 0.1675
-1.8108 0.2225 2.7861
-1.6352 0.0204 -1.0644
-3.5965 -3.0797 1.8892
0.0000 0.0000 0.0000
```

Calculated values
SG	P4/mmm, No. 123
DOS(E_F)	1.184	states/eV per atom
M_tot	1.86	μB per cell
raw formation energy	14.44	kcal/mol of atoms

=====

[11]
BAs2SeO: optimized geometry, PBE.

POSCAR file:
```
BAs2SeO
1.0
4.4069 0.0000 0.0000
0.0000 4.4069 0.0000
0.0000 0.0000 4.1978
As B O Se
2 1 1 1
Cartesian
0.0000 2.2034 0.0000
2.2034 0.0000 0.0000
0.0000 0.0000 0.0000
2.2034 2.2034 2.0989
0.0000 0.0000 2.0989
```

Calculated values
SG	P4/mmm, No. 123
DOS(E_F)	0.904	states/eV per atom
M_tot	0.00	μB per cell
distance to the lowest polymorph of the same formula	0	meV/atom
raw formation energy	24.10	kcal/mol of atoms

=====

[12]
TaBAs2O: optimized geometry, PBE.

POSCAR file:
```
TaBAs2O
1.0
5.2749 0.0000 0.0000
0.0000 2.6804 0.0000
0.0000 0.0000 5.2749
Ta As O B
1 2 1 1
Cartesian
2.6374 1.3402 2.6374
0.0000 0.0000 2.6374
2.6374 0.0000 0.0000
0.0000 0.0000 0.0000
0.0000 1.3402 0.0000
```

Calculated values
SG	P4/mmm, No. 123
DOS(E_F)	0.659	states/eV per atom
M_tot	0.00	μB per cell
raw formation energy	6.35	kcal/mol of atoms

=====

[13]
TbBAs2O8: optimized geometry, PBE.

POSCAR file:
```
TbBAs2O8
1.0
5.1681 0.0000 0.0000
-2.5840 4.4757 0.0000
0.0000 0.0000 6.1918
O Tb As B
8 1 2 1
Cartesian
0.0000 2.9838 3.0020
1.1427 0.6597 1.0778
1.4414 3.8159 5.1140
0.0000 1.3194 5.1140
4.0254 0.6597 1.0778
2.5840 3.1562 1.0778
2.5840 1.4919 3.1898
-1.4414 3.8159 5.1140
0.0000 0.0000 3.0959
2.5840 1.4919 1.4927
0.0000 2.9838 4.6991
0.0000 0.0000 0.0000
```

Calculated values
SG	P-3m1, No. 164
DOS(E_F)	0.000	states/eV per atom
M_tot	0.00	μB per cell
raw formation energy	-35.51	kcal/mol of atoms

=====

[14]
BAs3Os: optimized geometry, PBE.

POSCAR file:
```
BAs3Os
1.0
4.2553 0.0000 0.0000
0.0000 4.2553 0.0000
0.0000 0.0000 4.2553
As B Os
3 1 1
Cartesian
2.1276 0.0000 0.0000
0.0000 0.0000 2.1276
0.0000 2.1276 0.0000
0.0000 0.0000 0.0000
2.1276 2.1276 2.1276
```

Calculated values
SG	Pm-3m, No. 221
DOS(E_F)	0.869	states/eV per atom
M_tot	0.00	μB per cell
distance to the lowest polymorph of the same formula	0	meV/atom
DFT formation energy	1135.5	meV per atom

=====

[15]
BAs3Os: optimized geometry, PBE.

POSCAR file:
```
BAs3Os
1.0
4.7986 0.0000 0.0000
0.0000 4.7986 0.0000
0.0000 0.0000 4.7986
As B Os
3 1 1
Cartesian
0.0000 2.3993 0.0000
0.0000 0.0000 2.3993
2.3993 0.0000 0.0000
2.3993 2.3993 2.3993
0.0000 0.0000 0.0000
```

Calculated values
SG	Pm-3m, No. 221
DOS(E_F)	0.741	states/eV per atom
M_tot	0.00	μB per cell
distance to the lowest polymorph of the same formula	369	meV/atom
DFT formation energy	1504.6	meV per atom

=====

[16]
B3AsOs: optimized geometry, PBE.

POSCAR file:
```
B3AsOs
1.0
-3.1892 -0.9712 2.1858
2.1288 -2.8134 1.8560
1.0905 2.6520 2.7694
B Os As
3 1 1
Cartesian
1.0644 -1.4067 0.9280
0.5452 1.3260 1.3847
-1.5946 -0.4856 1.0929
0.0150 -0.5663 3.4056
0.0000 0.0000 0.0000
```

Calculated values
SG	Pm-3m, No. 221
DOS(E_F)	0.781	states/eV per atom
M_tot	0.00	μB per cell
distance to the lowest polymorph of the same formula	1014	meV/atom
DFT formation energy	2331.2	meV per atom

=====

[17]
BAs2Os: optimized geometry, PBE.

POSCAR file:
```
BAs2Os
1.0
5.3313 0.0000 0.0000
0.0000 5.3313 0.0000
2.6657 2.6657 4.8336
As B Os
4 2 2
Cartesian
1.5889 3.9985 1.2084
6.6642 6.4082 3.6252
3.9985 4.2545 3.6252
3.7425 1.3328 1.2084
2.6657 5.3313 2.4168
2.6657 2.6657 0.0000
0.0000 0.0000 0.0000
5.3313 2.6657 2.4168
```

Calculated values
SG	I-42d, No. 122
DOS(E_F)	0.803	states/eV per atom
M_tot	0.00	μB per cell
DFT formation energy	440.1	meV per atom

=====

[18]
B3AsOs: optimized geometry, PBE.

POSCAR file:
```
B3AsOs
1.0
4.1599 0.0000 0.0000
0.0000 4.1599 0.0000
0.0000 0.0000 4.1599
Os B As
1 3 1
Cartesian
0.0000 0.0000 0.0000
0.0000 2.0800 0.0000
0.0000 0.0000 2.0800
2.0800 0.0000 0.0000
2.0800 2.0800 2.0800
```

Calculated values
SG	Pm-3m, No. 221
DOS(E_F)	0.471	states/eV per atom
M_tot	1.95	μB per cell
distance to the lowest polymorph of the same formula	0	meV/atom
DFT formation energy	1316.9	meV per atom

=====

[19]
BAsOsSe2: optimized geometry, PBE.

POSCAR file:
```
BAsOsSe2
1.0
-1.8667 3.0449 3.5327
-0.5314 -3.9192 3.0973
4.2859 0.7189 1.6451
Os Se B As
1 2 1 1
Cartesian
0.0000 0.0000 0.0000
-0.2657 -1.9596 1.5487
-0.9334 1.5225 1.7663
0.9439 -0.0777 4.1375
2.1429 0.3595 0.8225
```

Calculated values
SG	P4/mmm, No. 123
DOS(E_F)	1.445	states/eV per atom
M_tot	0.00	μB per cell
distance to the lowest polymorph of the same formula	310	meV/atom
raw formation energy	34.12	kcal/mol of atoms

=====

[20]
BAsOsSe2: optimized geometry, PBE.

POSCAR file:
```
BAsOsSe2
1.0
4.3270 0.0000 0.0000
0.0000 4.3270 0.0000
0.0000 0.0000 4.1975
Os As Se B
1 1 2 1
Cartesian
2.1635 2.1635 2.0988
0.0000 0.0000 2.0988
0.0000 2.1635 0.0000
2.1635 0.0000 0.0000
0.0000 0.0000 0.0000
```

Calculated values
SG	P4/mmm, No. 123
DOS(E_F)	0.502	states/eV per atom
M_tot	0.00	μB per cell
distance to the lowest polymorph of the same formula	0	meV/atom
raw formation energy	26.98	kcal/mol of atoms

=====

[21]
B2AsOsW: optimized geometry, PBE.

POSCAR file:
```
B2AsOsW
1.0
3.8772 0.0000 0.0000
0.0000 5.0974 0.0000
0.0000 0.0000 3.8772
B As W Os
2 1 1 1
Cartesian
0.0000 0.0000 1.9386
1.9386 0.0000 0.0000
0.0000 0.0000 0.0000
0.0000 2.5487 0.0000
1.9386 2.5487 1.9386
```

Calculated values
SG	P4/mmm, No. 123
DOS(E_F)	0.722	states/eV per atom
M_tot	0.00	μB per cell
DFT formation energy	2136.5	meV per atom

=====

[22]
BAsP2: optimized geometry, PBE.

POSCAR file:
```
BAsP2
1.0
-1.2028 0.6748 -2.7182
3.8504 -4.2878 -1.0642
-5.6671 -1.4558 2.1590
P B As
2 1 1
Cartesian
0.4718 -1.5433 -0.5983
-2.1794 -3.2012 -1.5452
-0.8972 -2.8322 -0.3116
1.8798 -3.3971 -3.4026
```

Calculated values
SG	P1, No. 1
DOS(E_F)	0.349	states/eV per atom
M_tot	0.00	μB per cell
distance to the lowest polymorph of the same formula	162	meV/atom
DFT formation energy	231.9	meV per atom

=====

[23]
BAsP2: optimized geometry, PBE.

POSCAR file:
```
BAsP2
1.0
3.0614 0.0000 0.0016
1.5307 2.6512 -0.0022
0.6910 0.5316 8.6787
P B As
2 1 1
Cartesian
1.7634 0.7152 5.0264
1.7615 0.7119 2.8203
1.7632 2.4835 5.7142
4.8220 2.4843 7.8092
```

Calculated values
SG	P1, No. 1
DOS(E_F)	0.158	states/eV per atom
M_tot	0.00	μB per cell
distance to the lowest polymorph of the same formula	57	meV/atom
DFT formation energy	126.9	meV per atom

=====

[24]
B2AsP: optimized geometry, PBE.

POSCAR file:
```
B2AsP
1.0
3.3081 0.0000 0.0000
0.0000 3.3081 0.0000
0.0000 0.0000 4.6844
P B As
1 2 1
Cartesian
0.0000 0.0000 0.0000
0.0000 1.6541 1.1069
1.6541 0.0000 3.5775
1.6541 1.6541 2.3422
```

Calculated values
SG	P-4m2, No. 115
M_tot	0.00	μB per cell
distance to the lowest polymorph of the same formula	14	meV/atom
DFT formation energy	-198.6	meV per atom

=====

[25]
BAs3P: optimized geometry, PBE.

POSCAR file:
```
BAs3P
1.0
-1.0159 -3.1483 -2.8695
0.6598 -3.0307 3.0915
-4.2084 0.2848 1.1774
As P B
3 1 1
Cartesian
0.3299 -1.5153 1.5458
-2.1042 0.1424 0.5887
-0.5079 -1.5742 -1.4348
-2.2822 -2.9471 0.6997
0.0000 0.0000 0.0000
```

Calculated values
SG	Pm-3m, No. 221
DOS(E_F)	0.643	states/eV per atom
M_tot	0.00	μB per cell
distance to the lowest polymorph of the same formula	0	meV/atom
DFT formation energy	928.4	meV per atom

=====

[26]
BAsP2: optimized geometry, PBE.

POSCAR file:
```
BAsP2
1.0
0.0000 3.0271 3.0271
3.0271 0.0000 3.0271
3.0271 3.0271 0.0000
P As B
2 1 1
Cartesian
1.5136 1.5136 1.5136
4.5407 4.5407 4.5407
3.0271 3.0271 3.0271
0.0000 0.0000 0.0000
```

Calculated values
SG	Fm-3m, No. 225
DOS(E_F)	0.395	states/eV per atom
M_tot	0.00	μB per cell
distance to the lowest polymorph of the same formula	1131	meV/atom
DFT formation energy	1201.1	meV per atom